Entry 1:
DFT (PBE-GGA) results for a relaxed LiMg2CdHg4 crystal.

Its crystal system is trigonal. For the formation energy, the calculation gives -0.19 eV/atom. The space group is R-3m.

a = 4.9177 Å, b = 4.9177 Å, c = 8.5674 Å
α = 73.32°, β = 73.32°, γ = 60.00°
With the nearest neighbours (Å) after each atom.
Element x y z (fractional)
Li: 0.5000 0.5000 0.5000  8 Hg 2.84-2.97
Mg: 0.7478 0.7478 0.7567  8 Hg 2.94-3.16
Mg: 0.2522 0.2522 0.2433  8 Hg 2.94-3.16
Cd: 0.0000 0.0000 0.0000  8 Hg 3.08-3.17
Hg: 0.3827 0.3827 0.8518  1 Li 2.84, 4 Mg 2.94-3.16, 3 Cd 3.08
Hg: 0.8693 0.8693 0.3922  4 Mg 2.95-3.08, 3 Li 2.97, 1 Cd 3.17
Hg: 0.1307 0.1307 0.6078  4 Mg 2.95-3.08, 3 Li 2.97, 1 Cd 3.17
Hg: 0.6173 0.6173 0.1482  1 Li 2.84, 4 Mg 2.94-3.16, 3 Cd 3.08



Entry 2:
DFT (PBE-GGA) results for a relaxed BeTlSe2 crystal.

The calculation puts the raw formation energy at -0.229 eV/atom. Its crystal system is trigonal. The space group is R-3m. The energy above the most stable polymorph in this dataset is 181 meV/atom.

a = 7.1331 Å, b = 7.1331 Å, c = 7.1331 Å
α = 30.69°, β = 30.69°, γ = 30.69°
With the nearest neighbours (Å) after each atom.
Element x y z (fractional)
Be: 0.7500 0.7500 0.7500  6 Se 2.51
Tl: 0.2500 0.2500 0.2500  6 Se 3.07
Se: 0.0226 0.0226 0.0226  3 Be 2.51
Se: 0.4774 0.4774 0.4774  3 Be 2.51



Entry 3:
DFT (PBE-GGA) results for a relaxed Li2Tl2Sb crystal.

The calculation puts the raw formation energy at -0.036 eV/atom. Its crystal system is tetragonal. The space group is I4/mmm. The energy above the most stable polymorph in this dataset is 180 meV/atom.

a = 4.2405 Å, b = 4.2405 Å, c = 7.4652 Å
α = 73.50°, β = 73.50°, γ = 90.00°
With the nearest neighbours (Å) after each atom.
Element x y z (fractional)
Sb: 0.0000 0.0000 0.0000  8 Tl 3.34
Tl: 0.3918 0.3918 0.2164  4 Li 2.87, 1 Tl 2.96
Tl: 0.6082 0.6082 0.7836  4 Li 2.87, 1 Tl 2.96
Li: 0.7500 0.2500 0.5000  4 Tl 2.87, 4 Li 3.00
Li: 0.2500 0.7500 0.5000  4 Tl 2.87, 4 Li 3.00



Entry 4:
DFT (PBE-GGA) results for a relaxed Ac4Pb5 crystal.

Its crystal system is hexagonal. For the formation energy, the calculation gives -0.45 eV/atom. The space group is P6_3/mcm.

a = 7.0893 Å, b = 10.2351 Å, c = 10.2351 Å
α = 120.00°, β = 90.00°, γ = 90.00°
With the nearest neighbours (Å) after each atom.
Element x y z (fractional)
Ac: 0.0000 0.0000 0.0000  6 Pb 3.50, 2 Ac 3.54
Ac: 0.5000 0.0000 0.0000  6 Pb 3.50, 2 Ac 3.54
Ac: 0.7500 0.3788 0.3788  9 Pb 3.34-3.66
Ac: 0.7500 0.0000 0.6212  9 Pb 3.34-3.66
Ac: 0.7500 0.6212 0.0000  9 Pb 3.34-3.66
Ac: 0.2500 0.6212 0.6212  9 Pb 3.34-3.66
Ac: 0.2500 0.0000 0.3788  9 Pb 3.34-3.66
Ac: 0.2500 0.3788 0.0000  9 Pb 3.34-3.66
Pb: 0.7500 0.7056 0.7056  7 Ac 3.34-3.65
Pb: 0.7500 0.0000 0.2944  7 Ac 3.34-3.65
Pb: 0.7500 0.2944 0.0000  7 Ac 3.34-3.65
Pb: 0.2500 0.2944 0.2944  7 Ac 3.34-3.65
Pb: 0.2500 0.0000 0.7056  7 Ac 3.34-3.65
Pb: 0.2500 0.7056 0.0000  7 Ac 3.34-3.65
Pb: 0.0000 0.6667 0.3333  2 Pb 3.54, 6 Ac 3.66
Pb: 0.5000 0.3333 0.6667  2 Pb 3.54, 6 Ac 3.66
Pb: 0.0000 0.3333 0.6667  2 Pb 3.54, 6 Ac 3.66
Pb: 0.5000 0.6667 0.3333  2 Pb 3.54, 6 Ac 3.66



Entry 5:
DFT (PBE-GGA) results for a relaxed Pm7Y2Tm crystal.

Its crystal system is orthorhombic. For the formation energy, the calculation gives 0.40 eV/atom. The space group is Cmmm. The energy above the most stable polymorph in this dataset is 0 meV/atom.

a = 3.5292 Å, b = 10.3279 Å, c = 10.3275 Å
α = 108.66°, β = 90.00°, γ = 90.00°
With the nearest neighbours (Å) after each atom.
Element x y z (fractional)
Pm: 0.0000 0.6757 0.3243  2 Y 3.17, 8 Pm 3.44-3.53
Pm: 0.0000 0.3243 0.6757  2 Y 3.17, 8 Pm 3.44-3.53
Pm: 0.5000 0.1272 0.3828  1 Y 3.14
Pm: 0.5000 0.8728 0.6172  1 Y 3.14
Pm: 0.5000 0.3828 0.1272  1 Y 3.14
Pm: 0.5000 0.6172 0.8728  1 Y 3.14
Pm: 0.5000 0.5000 0.5000  10 Pm 3.44-3.65
Y: 0.5000 0.8328 0.1672  4 Pm 3.14-3.17, 2 Tm 3.31
Y: 0.5000 0.1672 0.8328  4 Pm 3.14-3.17, 2 Tm 3.31
Tm: 0.0000 0.0000 0.0000  4 Y 3.31, 2 Tm 3.53



Entry 6:
DFT (PBE-GGA) results for a relaxed Na2Li4Cd3 crystal.

Its crystal system is orthorhombic. For the formation energy, the calculation gives -0.11 eV/atom. The space group is Cccm.

a = 8.7019 Å, b = 8.7019 Å, c = 6.0586 Å
α = 90.00°, β = 90.00°, γ = 122.52°
With the nearest neighbours (Å) after each atom.
Element x y z (fractional)
Na: 0.8132 0.4679 0.5000  4 Li 2.89-3.08, 1 Na 2.99
Na: 0.4679 0.8132 0.0000  4 Li 2.89-3.08, 1 Na 2.99
Na: 0.1868 0.5321 0.5000  4 Li 2.89-3.08, 1 Na 2.99
Na: 0.5321 0.1868 0.0000  4 Li 2.89-3.08, 1 Na 2.99
Li: 0.1655 0.1772 0.5000  4 Li 2.73-3.03, 1 Na 2.99, 2 Cd 3.00
Li: 0.1772 0.1655 0.0000  4 Li 2.73-3.03, 1 Na 2.99, 2 Cd 3.00
Li: 0.8345 0.8228 0.5000  4 Li 2.73-3.03, 1 Na 2.99, 2 Cd 3.00
Li: 0.8228 0.8345 0.0000  4 Li 2.73-3.03, 1 Na 2.99, 2 Cd 3.00
Li: 0.8642 0.5449 0.0000  2 Li 2.73-2.86, 1 Na 2.89, 2 Cd 2.91
Li: 0.5449 0.8642 0.5000  2 Li 2.73-2.86, 1 Na 2.89, 2 Cd 2.91
Li: 0.1358 0.4551 0.0000  2 Li 2.73-2.86, 1 Na 2.89, 2 Cd 2.91
Li: 0.4551 0.1358 0.5000  2 Li 2.73-2.86, 1 Na 2.89, 2 Cd 2.91
Cd: 0.8530 0.1470 0.2500  6 Li 2.91-3.13, 2 Cd 3.03
Cd: 0.1470 0.8530 0.2500  6 Li 2.91-3.13, 2 Cd 3.03
Cd: 0.1470 0.8530 0.7500  6 Li 2.91-3.13, 2 Cd 3.03
Cd: 0.8530 0.1470 0.7500  6 Li 2.91-3.13, 2 Cd 3.03
Cd: 0.5000 0.5000 0.7500  2 Cd 3.03, 8 Li 3.14-3.34, 4 Na 3.26
Cd: 0.5000 0.5000 0.2500  2 Cd 3.03, 8 Li 3.14-3.34, 4 Na 3.26